1.
Density functional theory data (PBE) for crystalline ScCoGeH2 at its relaxed geometry.

Cell lengths 3.526, 5.408, 3.526 Å; angles 90.00, 90.00, 90.00 degrees
Fractional positions:
H 0.500 0.000 0.000
H 0.000 0.000 0.500
Ge 0.500 0.500 0.500
Sc 0.000 0.000 0.000
Co 0.000 0.500 0.000

Results
symmetry: P4/mmm, No. 123
E: -24.01 eV/f.u.
volume: 67.2 Å³ per cell


2.
Density functional theory data (PBE) for crystalline Ba12Na5Bi3 at its relaxed geometry.

Cell lengths 18.174, 18.174, 18.174 Å; angles 109.47, 109.47, 109.47 degrees
Fractional positions:
Bi 0.750 0.375 0.125
Bi 0.875 0.125 0.250
Bi 0.375 0.750 0.625
Bi 0.250 0.625 0.875
Bi 0.625 0.375 0.750
Bi 0.625 0.250 0.375
Bi 0.250 0.125 0.375
Bi 0.125 0.875 0.750
Bi 0.750 0.875 0.625
Bi 0.125 0.250 0.875
Bi 0.875 0.750 0.125
Bi 0.375 0.625 0.250
Ba 0.935 0.367 0.268
Ba 0.732 0.133 0.065
Ba 0.768 0.332 0.901
Ba 0.332 0.565 0.431
Ba 0.931 0.099 0.867
Ba 0.768 0.435 0.367
Ba 0.401 0.268 0.332
Ba 0.633 0.569 0.901
Ba 0.168 0.099 0.732
Ba 0.431 0.065 0.332
Ba 0.832 0.931 0.065
Ba 0.099 0.168 0.232
Ba 0.569 0.935 0.668
Ba 0.569 0.633 0.401
Ba 0.268 0.867 0.935
Ba 0.401 0.133 0.569
Ba 0.065 0.431 0.832
Ba 0.133 0.732 0.565
Ba 0.668 0.232 0.599
Ba 0.268 0.401 0.832
Ba 0.901 0.832 0.768
Ba 0.133 0.401 0.069
Ba 0.867 0.268 0.435
Ba 0.168 0.069 0.935
Ba 0.065 0.633 0.732
Ba 0.435 0.768 0.867
Ba 0.431 0.367 0.599
Ba 0.367 0.431 0.099
Ba 0.232 0.668 0.099
Ba 0.232 0.565 0.633
Ba 0.901 0.069 0.633
Ba 0.867 0.599 0.931
Ba 0.931 0.832 0.565
Ba 0.367 0.935 0.768
Ba 0.565 0.332 0.931
Ba 0.599 0.732 0.668
Ba 0.069 0.901 0.133
Ba 0.832 0.901 0.268
Ba 0.332 0.768 0.401
Ba 0.565 0.232 0.133
Ba 0.633 0.065 0.232
Ba 0.599 0.867 0.431
Ba 0.732 0.599 0.168
Ba 0.935 0.569 0.168
Ba 0.668 0.435 0.569
Ba 0.099 0.931 0.367
Ba 0.435 0.668 0.069
Ba 0.069 0.168 0.435
Na 0.875 0.250 0.625
Na 0.000 0.000 0.000
Na 0.625 0.875 0.250
Na 0.125 0.750 0.375
Na 0.000 0.500 0.500
Na 0.750 0.125 0.875
Na 0.500 0.500 0.000
Na 0.500 0.000 0.500
Na 0.125 0.375 0.250
Na 0.000 0.000 0.500
Na 0.375 0.250 0.125
Na 0.750 0.625 0.375
Na 0.625 0.750 0.875
Na 0.500 0.500 0.500
Na 0.250 0.375 0.625
Na 0.500 0.000 0.000
Na 0.875 0.625 0.750
Na 0.375 0.125 0.750
Na 0.250 0.875 0.125
Na 0.000 0.500 0.000

Results
energy of formation: -0.7 eV/f.u.
symmetry: Ia-3d, No. 230
E: -41.98 eV/f.u.
volume: 4620.6 Å³ per cell


3.
Density functional theory data (PBE) for crystalline PrY5Tm2Th at its relaxed geometry.

Cell lengths 5.754, 11.032, 9.754 Å; angles 90.00, 90.00, 105.12 degrees
Fractional positions:
Tm 0.112 0.225 0.323
Tm 0.131 0.263 0.710
Tm 0.888 0.775 0.823
Tm 0.869 0.737 0.210
Y 0.267 0.533 0.337
Y 0.733 0.467 0.837
Y 0.472 0.943 0.743
Y 0.389 0.778 0.036
Y 0.611 0.222 0.536
Y 0.987 0.974 0.516
Y 0.528 0.057 0.243
Y 0.304 0.608 0.713
Y 0.696 0.392 0.213
Y 0.013 0.026 0.016
Th 0.190 0.380 0.025
Th 0.810 0.620 0.525
Pr 0.596 0.192 0.923
Pr 0.404 0.808 0.423

Results
energy of formation: 1.5 eV/f.u.
symmetry: Cmc2_1, No. 36
E: -51.97 eV/f.u.
volume: 597.7 Å³ per cell


4.
Density functional theory data (PBE) for crystalline Sn6AsP2Cl3 at its relaxed geometry.

Cell lengths 7.239, 7.239, 7.545 Å; angles 99.20, 99.20, 120.06 degrees
Fractional positions:
Sn 0.413 0.071 0.214
Sn 0.929 0.587 0.786
Sn 0.269 0.269 0.784
Sn 0.731 0.731 0.216
Sn 0.587 0.929 0.786
Sn 0.071 0.413 0.214
P 0.333 0.667 0.000
P 0.667 0.333 0.000
As 0.000 0.000 0.000
Cl 0.837 0.163 0.500
Cl 0.163 0.837 0.500
Cl 0.500 0.500 0.500

Results
symmetry: C2/m, No. 12
E: -48.96 eV/f.u.
E_form (uncorrected): -0.328 eV per atom
volume: 324.2 Å³ per cell